No. 1
Tb2Sm3Ag2 | PBE-GGA | relaxed

Unit cell a=6.7853 b=6.7853 c=9.2919 alpha=114.50 beta=114.50 gamma=32.18
With the nearest neighbours (Å) after each atom.
Element x y z (fractional)
Tb 0.1476 0.1476 0.3133  2 Ag 3.12
Tb 0.8524 0.8524 0.6867  2 Ag 3.12
Sm 0.3897 0.3897 0.0540  3 Ag 3.14-3.15, 1 Sm 3.43
Sm 0.5000 0.5000 0.5000  4 Ag 2.99
Sm 0.6103 0.6103 0.9460  3 Ag 3.14-3.15, 1 Sm 3.43
Ag 0.1744 0.1744 0.7246  5 Sm 2.99-3.15, 2 Tb 3.12
Ag 0.8256 0.8256 0.2754  5 Sm 2.99-3.15, 2 Tb 3.12

Properties
Its space group is C2/m (12). For the total magnetization, the calculation gives 0.000 Bohr magnetons per cell. For the density, the calculation gives 7.96 g cm⁻³. As for the density of states at the Fermi level: 7.4 states/eV per cell. For the electronic total energy, the calculation gives -4.28 eV/atom. The formation energy is -0.119 eV/atom.


No. 2
AcPr5Ho6 | PBE-GGA | relaxed

Unit cell a=8.0996 b=8.0996 c=6.3287 alpha=97.51 beta=97.51 gamma=85.14
With the nearest neighbours (Å) after each atom.
Element x y z (fractional)
Ac 0.0000 0.0000 0.0000  6 Ho 3.63-3.64, 6 Pr 3.67
Pr 0.1695 0.8305 0.5000  6 Ho 3.58-3.63, 4 Pr 3.62-3.72, 2 Ac 3.67
Pr 0.3353 0.6647 0.0000  6 Ho 3.60-3.63, 5 Pr 3.61-3.65, 1 Ac 3.67
Pr 0.5000 0.5000 0.5000  6 Ho 3.59-3.60, 6 Pr 3.62-3.64
Pr 0.6647 0.3353 0.0000  6 Ho 3.60-3.63, 5 Pr 3.61-3.65, 1 Ac 3.67
Pr 0.8305 0.1695 0.5000  6 Ho 3.58-3.63, 4 Pr 3.62-3.72, 2 Ac 3.67
Ho 0.0840 0.4193 0.2504  5 Pr 3.58-3.63, 1 Ac 3.63, 6 Ho 3.64-3.68
Ho 0.2510 0.2510 0.7465  5 Pr 3.59-3.63, 6 Ho 3.64-3.68, 1 Ac 3.64
Ho 0.4193 0.0840 0.2504  5 Pr 3.58-3.63, 1 Ac 3.63, 6 Ho 3.64-3.68
Ho 0.5807 0.9160 0.7496  5 Pr 3.58-3.63, 1 Ac 3.63, 6 Ho 3.64-3.68
Ho 0.7490 0.7490 0.2535  5 Pr 3.59-3.63, 6 Ho 3.64-3.68, 1 Ac 3.64
Ho 0.9160 0.5807 0.7496  5 Pr 3.58-3.63, 1 Ac 3.63, 6 Ho 3.64-3.68

Properties
Its space group is C2/m (12). For the total magnetization, the calculation gives 0.000 Bohr magnetons per cell. For the density, the calculation gives 7.84 g cm⁻³. As for the density of states at the Fermi level: 16.3 states/eV per cell. For the electronic total energy, the calculation gives -4.60 eV/atom. The formation energy is 0.026 eV/atom.


No. 3
NaSr3Ir | PBE-GGA | relaxed

Unit cell a=9.5252 b=9.5252 c=10.0729 alpha=92.88 beta=92.88 gamma=27.23
With the nearest neighbours (Å) after each atom.
Element x y z (fractional)
Na 0.0911 0.0911 0.4370  1 Na 3.66, 6 Sr 3.79-4.07
Na 0.9089 0.9089 0.5630  1 Na 3.66, 6 Sr 3.79-4.07
Sr 0.1103 0.1103 0.0644  3 Ir 3.01-3.32
Sr 0.2481 0.2481 0.7265  3 Ir 3.09-3.34
Sr 0.4333 0.4333 0.2497  1 Ir 3.62, 2 Na 3.92, 4 Sr 3.93-4.05
Sr 0.5667 0.5667 0.7503  1 Ir 3.62, 2 Na 3.92, 4 Sr 3.93-4.05
Sr 0.7519 0.7519 0.2735  3 Ir 3.09-3.34
Sr 0.8897 0.8897 0.9356  3 Ir 3.01-3.32
Ir 0.2711 0.2711 0.0326  2 Ir 2.45
Ir 0.7289 0.7289 0.9674  2 Ir 2.45

Properties
Its space group is C2/m (12). For the total magnetization, the calculation gives 0.401 Bohr magnetons per cell. For the density, the calculation gives 3.80 g cm⁻³. As for the density of states at the Fermi level: 10.9 states/eV per cell. For the electronic total energy, the calculation gives -3.15 eV/atom. The formation energy is -0.110 eV/atom.


No. 4
CsH6Ir | PBE-GGA | relaxed

Unit cell a=5.3056 b=5.3056 c=5.3056 alpha=102.96 beta=102.96 gamma=102.96
With the nearest neighbours (Å) after each atom.
Element x y z (fractional)
Cs 0.0000 0.0000 0.0000  12 H 3.36-3.76, 2 Ir 3.41
H 0.2659 0.6093 0.6093  1 Ir 1.65, 2 H 1.65
H 0.3907 0.3907 0.7341  1 Ir 1.65, 2 H 1.65
H 0.3907 0.7341 0.3907  1 Ir 1.65, 2 H 1.65
H 0.6093 0.2659 0.6093  1 Ir 1.65, 2 H 1.65
H 0.6093 0.6093 0.2659  1 Ir 1.65, 2 H 1.65
H 0.7341 0.3907 0.3907  1 Ir 1.65, 2 H 1.65
Ir 0.5000 0.5000 0.5000  6 H 1.65

Properties
Its space group is R-3m (166). For the total magnetization, the calculation gives 0.000 Bohr magnetons per cell. For the density, the calculation gives 4.05 g cm⁻³. As for the density of states at the Fermi level: 0.0 states/eV per cell. For the electronic total energy, the calculation gives -3.69 eV/atom.


No. 5
Pr2Sb3Pd4Rh | PBE-GGA | relaxed

Unit cell a=4.3403 b=4.3403 c=11.4935 alpha=90.00 beta=90.00 gamma=90.00
With the nearest neighbours (Å) after each atom.
Element x y z (fractional)
Pr 0.0000 0.5000 0.2369  4 Pd 3.25, 6 Sb 3.41-3.48, 2 Rh 3.48
Pr 0.5000 0.0000 0.7631  4 Pd 3.25, 6 Sb 3.41-3.48, 2 Rh 3.48
Sb 0.0000 0.0000 0.0000  4 Pd 2.73
Sb 0.0000 0.5000 0.6335  5 Pd 2.56-2.66
Sb 0.5000 0.0000 0.3665  5 Pd 2.56-2.66
Pd 0.0000 0.0000 0.5000  4 Sb 2.66
Pd 0.0000 0.5000 0.8565  3 Sb 2.56-2.73, 2 Rh 2.73
Pd 0.5000 0.0000 0.1435  3 Sb 2.56-2.73, 2 Rh 2.73
Pd 0.5000 0.5000 0.5000  4 Sb 2.66
Rh 0.5000 0.5000 0.0000  4 Pd 2.73

Properties
Its space group is P-4m2 (115). For the total magnetization, the calculation gives 0.000 Bohr magnetons per cell. For the density, the calculation gives 9.02 g cm⁻³. As for the density of states at the Fermi level: 7.3 states/eV per cell. The value obtained for the formation energy without anion corrections is -0.724 eV/atom. For the electronic total energy, the calculation gives -5.73 eV/atom.


No. 6
BaPr2Zn2Ge2 | PBE-GGA | relaxed

Unit cell a=12.5482 b=12.5482 c=12.5482 alpha=19.77 beta=19.77 gamma=19.77
With the nearest neighbours (Å) after each atom.
Element x y z (fractional)
Ba 0.0000 0.0000 0.0000  6 Ge 3.55, 6 Zn 3.64
Pr 0.1249 0.1249 0.1249  3 Zn 3.16, 3 Ge 3.24
Pr 0.8751 0.8751 0.8751  3 Zn 3.16, 3 Ge 3.24
Zn 0.4055 0.4055 0.4055  3 Ge 2.49
Zn 0.5945 0.5945 0.5945  3 Ge 2.49
Ge 0.2646 0.2646 0.2646  3 Zn 2.49
Ge 0.7354 0.7354 0.7354  3 Zn 2.49

Properties
Its space group is R-3m (166). For the total magnetization, the calculation gives 1.177 Bohr magnetons per cell. For the density, the calculation gives 5.84 g cm⁻³. As for the density of states at the Fermi level: 4.7 states/eV per cell. For the electronic total energy, the calculation gives -3.73 eV/atom. The formation energy is -0.403 eV/atom.


No. 7
NpH2Cl4 | PBE-GGA | relaxed

Unit cell a=7.0473 b=7.0473 c=6.8522 alpha=116.79 beta=116.79 gamma=35.89
With the nearest neighbours (Å) after each atom.
Element x y z (fractional)
Np 0.0000 0.0000 0.0000  2 H 1.90
H 0.1562 0.1562 0.2106  1 Np 1.90
H 0.8438 0.8438 0.7894  1 Np 1.90
Cl 0.1155 0.1155 0.8074  1 Np 2.47, 1 H 2.55
Cl 0.4024 0.4024 0.7452  2 H 2.38
Cl 0.5976 0.5976 0.2548  2 H 2.38
Cl 0.8845 0.8845 0.1926  1 Np 2.47, 1 H 2.55

Properties
Its space group is C2/m (12). For the total magnetization, the calculation gives 0.990 Bohr magnetons per cell. For the density, the calculation gives 3.60 g cm⁻³. As for the density of states at the Fermi level: 5.1 states/eV per cell. For the electronic total energy, the calculation gives -4.49 eV/atom.


No. 8
CaIn3Ni3 | PBE-GGA | relaxed

Unit cell a=7.0019 b=7.0019 c=7.0019 alpha=90.00 beta=90.00 gamma=90.00
With the nearest neighbours (Å) after each atom.
Element x y z (fractional)
Ca 0.0000 0.0000 0.0000  12 In 3.91, 12 Ni 3.91
Ca 0.5000 0.5000 0.5000  12 In 3.91, 12 Ni 3.91
In 0.0000 0.2500 0.5000  4 Ni 2.48
In 0.0000 0.7500 0.5000  4 Ni 2.48
In 0.2500 0.5000 0.0000  4 Ni 2.48
In 0.5000 0.0000 0.2500  4 Ni 2.48
In 0.5000 0.0000 0.7500  4 Ni 2.48
In 0.7500 0.5000 0.0000  4 Ni 2.48
Ni 0.0000 0.5000 0.2500  4 In 2.48
Ni 0.0000 0.5000 0.7500  4 In 2.48
Ni 0.2500 0.0000 0.5000  4 In 2.48
Ni 0.5000 0.2500 0.0000  4 In 2.48
Ni 0.5000 0.7500 0.0000  4 In 2.48
Ni 0.7500 0.0000 0.5000  4 In 2.48

Properties
Its space group is Pm-3n (223). For the total magnetization, the calculation gives 0.000 Bohr magnetons per cell. For the density, the calculation gives 5.42 g cm⁻³. As for the density of states at the Fermi level: 11.5 states/eV per cell. For the electronic total energy, the calculation gives -3.71 eV/atom. The formation energy is 0.231 eV/atom.


No. 9
Mg2SbCl | PBE-GGA | relaxed

Unit cell a=6.2324 b=6.2324 c=6.2324 alpha=150.13 beta=124.48 gamma=64.33
With the nearest neighbours (Å) after each atom.
Element x y z (fractional)
Mg 0.0000 0.0000 0.0000  2 Sb 3.05, 4 Mg 3.21-3.23, 4 Cl 3.36
Mg 0.7345 0.2345 0.5000  2 Cl 2.50
Sb 0.2458 0.7458 0.5000  6 Mg 3.05-3.32, 2 Sb 3.21
Cl 0.5530 0.5530 0.0000  2 Mg 2.50

Properties
Its space group is Imm2 (44). For the total magnetization, the calculation gives 0.000 Bohr magnetons per cell. For the density, the calculation gives 3.47 g cm⁻³. As for the density of states at the Fermi level: 1.1 states/eV per cell. The value obtained for the formation energy without anion corrections is -0.466 eV/atom. For the electronic total energy, the calculation gives -2.76 eV/atom.